# 1
A plane-wave DFT calculation with PBE was carried out for Pr2In2SnHg4 after structural relaxation.

As for the total magnetization: 0.00 μB per cell. Its formation energy is -0.1627 eV per atom. For the density of states at the Fermi level, the calculation gives 4.39 states/eV/f.u. The crystal system is tetragonal.

The structure belongs to space group I4/mmm (No. 139); the cell edges are 7.109, 7.109 and 10.646 Å and the angles 90.00°, 90.00° and 90.00°. Symmetry generates all atoms from Pr at (0.000, 0.000, 0.211), In at (0.000, 0.500, 0.250), Sn at (0.000, 0.000, 0.500) and Hg at (0.223, 0.223, 0.000).

# 2
A plane-wave DFT calculation with PBE was carried out for Mg2C after structural relaxation.

As for the total magnetization: 0.00 μB per cell. Its formation energy is 0.2749 eV per atom. For the density of states at the Fermi level, the calculation gives 0.03 states/eV/f.u. The crystal system is cubic. Its energy above the most stable polymorph in this dataset is 7 kJ/mol of formula units.

The structure belongs to space group Pa-3 (No. 205); the cell edges are 5.532, 5.532 and 5.532 Å and the angles 90.00°, 90.00° and 90.00°. Symmetry generates all atoms from Mg at (0.183, 0.183, 0.183) and C at (0.000, 0.000, 0.500).